Computed, not measured: a crystal of SiH8 relaxed with PBEsol at the SCAN level of DFT.

Calculated values
Magnetization, μB per formula unit: 0.0
Volume, Å³/atom: 7.94
DFT total energy, eV for the cell shown: -74.8

extended XYZ file:
```
18
Lattice="-3.340 -3.260 0.618 3.316 -3.273 0.654 -0.032 1.234 6.334" Properties=species:S:1:pos:R:3 pbc="T T T"
H -1.708 -1.025 3.526
H 0.009 -3.237 0.678
H -3.311 -2.587 3.836
H 1.612 -1.669 0.395
H 1.604 -2.271 5.552
H -0.004 -4.601 2.711
H -1.727 -2.900 2.371
H 0.011 -0.699 5.238
H -0.979 -0.705 1.432
H -0.732 -3.087 5.185
H -0.765 -0.635 0.702
H -0.939 -3.426 4.533
H -2.570 -1.450 5.765
H 0.850 -2.000 2.602
H -2.402 -1.143 6.449
H 0.675 -2.028 3.350
Si -0.847 -0.014 4.219
Si -0.860 -3.915 1.692
```